Compound: CoAuC2
Source: the Alexandria database
Functional: PBE
Structure: relaxed

It has space group Fm-3m (No. 225), with a = 5.4990 Å, b = 5.4990 Å, c = 5.4990 Å, α = 90.00°, β = 90.00° and γ = 90.00°. The distinct sites, in fractional coordinates, are Co at (0.0000, 0.0000, 0.0000), Au at (0.0000, 0.0000, 0.5000) and C at (0.2500, 0.2500, 0.2500).

For the total moment, the calculation gives 1.57 μB per formula unit. The value obtained for the formation energy is 2.13 eV per atom. The calculation puts the energy above the most stable polymorph in this dataset at 924 meV per atom.

Compound: Nd3Dy6Ho2Pb
Source: the Alexandria database
Functional: PBE
Structure: relaxed

It has space group C2/m (No. 12), with a = 6.1622 Å, b = 10.6762 Å, c = 11.6897 Å, α = 90.00°, β = 100.21° and γ = 90.00°. The distinct sites, in fractional coordinates, are Nd at (0.0000, 0.0000, 0.0000), Nd at (0.0000, 0.3320, 0.0000), Dy at (0.2441, 0.3362, 0.7437), Dy at (0.2473, 0.5000, 0.2545), Ho at (0.0000, 0.1656, 0.5000) and Pb at (0.0000, 0.5000, 0.5000).

For the total moment, the calculation gives 0.00 μB per formula unit. The value obtained for the formation energy is -0.05 eV per atom.

Compound: Pa2CrOs
Source: the Alexandria database
Functional: PBE
Structure: relaxed

It has space group P4/mmm (No. 123), with a = 4.7029 Å, b = 4.7029 Å, c = 3.5859 Å, α = 90.00°, β = 90.00° and γ = 90.00°. The distinct sites, in fractional coordinates, are Pa at (0.0000, 0.5000, 0.0000), Cr at (0.0000, 0.0000, 0.5000) and Os at (0.5000, 0.5000, 0.5000).

For the total moment, the calculation gives 0.64 μB per formula unit. The value obtained for the formation energy is 0.10 eV per atom. The calculation puts the energy above the most stable polymorph in this dataset at 0 meV per atom.

Compound: PmNi4H8Pd
Source: the Alexandria database
Functional: PBE
Structure: relaxed

It has space group R3m (No. 160, hexagonal axes), with a = 5.3555 Å, b = 5.3555 Å, c = 13.8565 Å, α = 90.00°, β = 90.00° and γ = 120.00°. The distinct sites, in fractional coordinates, are Pm at (0.0000, 0.0000, 0.0000), Ni at (0.0000, 0.0000, 0.2560), Ni at (0.0079, 0.5039, 0.1311), H at (0.0000, 0.0000, 0.3876), H at (0.0000, 0.0000, 0.8434), H at (0.0817, 0.5408, 0.4040), H at (0.1694, 0.3389, 0.1997) and Pd at (0.0000, 0.0000, 0.6268).

The calculated total energy comes out at -185.2 eV per cell. For the total moment, the calculation gives 0.00 μB per formula unit.

What is the formula in the fourth record?
PmNi4H8Pd

total moment of number 3 (Pa2CrOs)?
0.64 μB per formula unit

Among the records above, which one has the highest total moment?
CoAuC2